No. 1
5
Lattice="5.7411 0.0000 0.0000 0.0000 5.1636 0.0000 0.0000 0.0000 5.7411" Properties=species:S:1:pos:R:3 comment="InTe2AsPb (PBE-GGA, relaxed)" e_tot_ev_per_cell=-15.5 space_group=P4/mmm raw_formation_energy_mev_per_atom=369 dos_ef_per_ev_fu=4.93 pbc="T T T"
Pb 2.8706 2.5818 2.8706
In 0.0000 0.0000 0.0000
Te 0.0000 0.0000 2.8706
Te 2.8706 0.0000 0.0000
As 0.0000 2.5818 0.0000

=====

No. 2
17
Lattice="-1.4061 4.5706 3.7999 -4.6384 -0.9371 -3.8618 1.0245 -5.0857 3.2237" Properties=species:S:1:pos:R:3 comment="SmRe4N12 (PBE-GGA, relaxed)" e_tot_ev_per_cell=-146.7 space_group=Im-3 raw_formation_energy_mev_per_atom=454 dos_ef_per_ev_fu=7.67 pbc="T T T"
N -2.4835 -4.1272 0.2495
N -4.1752 -1.4560 -1.5869
N -0.8448 0.0038 4.7487
N -4.4425 1.8754 -0.1039
N -2.3032 0.5894 -0.0819
N -1.2045 -1.9956 0.4753
N -4.3103 -1.6384 0.8989
N -0.7097 0.1861 2.2629
N -3.8156 0.5433 2.6864
N -0.5775 -3.3276 3.2656
N -2.5365 2.6750 2.9123
N -2.7168 -2.0416 3.2437
Re -2.5100 -0.7261 1.5809
Re -2.3192 -0.4685 -1.9309
Re 0.5122 -2.5429 1.6119
Re -0.7031 2.2853 1.8999
Sm 0.0000 0.0000 0.0000

=====

No. 3
4
Lattice="4.2849 0.0000 0.0000 2.1425 3.7109 0.0000 2.1425 1.2370 7.5800" Properties=species:S:1:pos:R:3 comment="Nd2TeAs (PBE-GGA, relaxed)" e_tot_ev_per_cell=-23.3 space_group=R3m raw_formation_energy_mev_per_atom=-1505 dos_ef_per_ev_fu=2.91 e_above_lowest_polymorph_ev_per_fu=0.152 pbc="T T T"
Nd 2.1425 1.2370 1.6541
Nd 2.1425 1.2370 5.9367
Te 4.2849 2.4739 3.8088
As 6.4274 3.7109 7.5503

=====

No. 4
12
Lattice="-3.0108 -0.3912 -1.8106 -3.0152 -1.6622 5.3731 -6.0892 15.5660 6.7626" Properties=species:S:1:pos:R:3 comment="La2Dy7Y3 (PBE-GGA, relaxed)" e_tot_ev_per_cell=-60.5 ef_ev_per_atom=0.080 space_group=P2/m dos_ef_per_ev_fu=18.70 pbc="T T T"
Dy -6.4167 12.3118 8.0104
Dy 0.0000 0.0000 0.0000
Dy -2.7037 2.2704 0.5545
Dy -5.2864 7.2096 3.7822
Dy -2.6876 1.5920 4.1253
Dy -6.8288 6.3031 6.5429
Dy -9.4115 11.2422 9.7706
La -6.7593 9.6255 5.7095
La -5.3559 3.8871 4.6156
Y -3.0130 -1.0267 1.7813
Y -6.6828 8.7615 9.2199
Y -2.4215 5.1423 2.9158

=====

No. 5
12
Lattice="4.7723 0.0000 0.0000 0.0000 4.7723 0.0000 0.0000 0.0000 14.3173" Properties=species:S:1:pos:R:3 comment="Er9AlIn2 (PBE-GGA, relaxed)" e_tot_ev_per_cell=-53.2 ef_ev_per_atom=-0.241 space_group=P4/mmm dos_ef_per_ev_fu=14.13 pbc="T T T"
In 0.0000 0.0000 4.7469
In 0.0000 0.0000 9.5703
Er 0.0000 2.3861 12.0094
Er 0.0000 2.3861 7.1586
Er 2.3861 2.3861 4.7414
Er 2.3861 2.3861 9.5759
Er 2.3861 0.0000 12.0094
Er 2.3861 0.0000 7.1586
Er 2.3861 0.0000 2.3079
Er 0.0000 2.3861 2.3079
Er 2.3861 2.3861 0.0000
Al 0.0000 0.0000 0.0000

=====

No. 6
3
Lattice="-1.6844 3.8717 -4.4404 -4.6251 3.3786 -2.1770 0.4176 3.4848 1.3022" Properties=species:S:1:pos:R:3 comment="YSbSe (PBE-GGA, relaxed)" e_tot_ev_per_cell=-17.1 space_group=I4mm raw_formation_energy_mev_per_atom=-994 dos_ef_per_ev_fu=1.28 pbc="T T T"
Y -4.2642 6.1054 -4.2097
Se -1.5832 4.6048 -1.0534
Sb 0.3732 3.5097 1.2499

=====

No. 7
4
Lattice="-0.4950 3.0174 0.4016 -2.4211 -0.1436 -1.9050 -4.6273 -1.5574 5.9983" Properties=species:S:1:pos:R:3 comment="ScTc2Sb (PBE-GGA, relaxed)" e_tot_ev_per_cell=-31.7 space_group=P4mm raw_formation_energy_mev_per_atom=-120 dos_ef_per_ev_fu=2.34 pbc="T T T"
Tc -0.1259 -0.0424 0.1632
Tc -2.4749 1.0947 0.5665
Sc -5.1020 0.2105 3.9719
Sb -2.1542 -0.7251 2.7925

=====

No. 8
4
Lattice="-4.1901 -1.3107 -2.5555 2.4887 -4.3594 0.7797 -1.7742 -0.4512 3.1405" Properties=species:S:1:pos:R:3 comment="Mg2InSe (PBE-GGA, relaxed)" e_tot_ev_per_cell=-10.6 space_group=Cmmm raw_formation_energy_mev_per_atom=-288 dos_ef_per_ev_fu=1.78 e_above_lowest_polymorph_ev_per_fu=1.083 pbc="T T T"
Se -2.9822 -0.8809 0.2925
Mg -0.8507 -2.8350 -0.8879
Mg 0.0000 0.0000 0.0000
In 0.3572 -2.4053 1.9601

=====

No. 9
8
Lattice="5.8261 0.0000 0.0000 0.0000 8.1979 0.0000 0.0000 0.0000 8.1979" Properties=species:S:1:pos:R:3 comment="Cs2MnI5 (PBE-GGA, relaxed)" e_tot_ev_per_cell=-26.2 space_group=P4/mmm raw_formation_energy_mev_per_atom=-952 dos_ef_per_ev_fu=2.22 e_above_lowest_polymorph_ev_per_fu=0.186 pbc="T T T"
I 0.0000 1.9474 6.2505
I 2.9130 0.0000 0.0000
I 0.0000 1.9474 1.9474
I 0.0000 6.2505 6.2505
I 0.0000 6.2505 1.9474
Cs 2.9130 0.0000 4.0989
Cs 2.9130 4.0989 0.0000
Mn 0.0000 0.0000 0.0000

=====

No. 10
8
Lattice="4.3421 0.0000 0.0000 0.0000 4.3421 0.0000 0.0000 0.0000 8.7060" Properties=species:S:1:pos:R:3 comment="Mg6SnPd (PBE-GGA, relaxed)" e_tot_ev_per_cell=-20.7 ef_ev_per_atom=-0.240 space_group=P4/mmm dos_ef_per_ev_fu=2.23 pbc="T T T"
Mg 2.1710 0.0000 6.3443
Mg 2.1710 2.1710 0.0000
Mg 0.0000 2.1710 2.3617
Mg 2.1710 2.1710 4.3530
Mg 0.0000 2.1710 6.3443
Mg 2.1710 0.0000 2.3617
Sn 0.0000 0.0000 0.0000
Pd 0.0000 0.0000 4.3530

=====

No. 11
5
Lattice="-0.1970 -1.2857 -4.7518 1.6024 -4.5134 1.1548 -5.0928 -1.6405 0.6550" Properties=species:S:1:pos:R:3 comment="HgMoSe2Br (PBE-GGA, relaxed)" e_tot_ev_per_cell=-19.5 space_group=P4/mmm raw_formation_energy_mev_per_atom=46 dos_ef_per_ev_fu=4.21 e_above_lowest_polymorph_ev_per_fu=0.000 pbc="T T T"
Se 0.8012 -2.2567 0.5774
Se -0.0985 -0.6429 -2.3759
Br -2.5464 -0.8203 0.3275
Mo 0.0000 0.0000 0.0000
Hg -1.8437 -3.7198 -1.4710

=====

No. 12
8
Lattice="-4.8719 3.5403 5.9920 -0.4083 -7.4470 4.0680 0.0381 -1.1651 6.7418" Properties=species:S:1:pos:R:3 comment="NaY2Ag (PBE-GGA, relaxed)" e_tot_ev_per_cell=-31.9 ef_ev_per_atom=0.284 space_group=I-42d dos_ef_per_ev_fu=7.66 e_above_lowest_polymorph_ev_per_fu=1.079 pbc="T T T"
Y -1.9362 -2.0596 8.6763
Y -3.2691 1.1233 6.1637
Y -4.6069 -4.5714 14.0114
Y -0.6720 -4.6359 4.7522
Na -2.6401 -1.9533 5.0300
Na -1.5052 -5.2827 7.9199
Ag -3.7369 0.2109 8.8819
Ag 0.0000 0.0000 0.0000